# PBE HgAsRu, relaxed
# ΔH_f (0 K) = 0.020 eV per atom
# Calculated total energy = -4.722 eV per atom
# Size of the total moment = 0.37 Bohr magnetons per cell
# DOS(E_F) = 0.85 states/eV/atom
# Energy relative to the lowest polymorph listed for this composition = 0.000 eV per formula unit
data_HgAsRu
_cell_length_a 3.857
_cell_length_b 3.857
_cell_length_c 9.924
_cell_angle_alpha 90.00
_cell_angle_beta 90.00
_cell_angle_gamma 90.00
_symmetry_space_group_name_H-M 'P 4/n m m'
_symmetry_Int_Tables_number 129
loop_
_symmetry_equiv_pos_as_xyz
'x,y,z'
'-x,-y,-z'
'-y+1/2,x,z'
'y+1/2,-x,-z'
'-x+1/2,-y+1/2,z'
'x+1/2,y+1/2,-z'
'y,-x+1/2,z'
'-y,x+1/2,-z'
'x+1/2,-y,-z'
'-x+1/2,y,z'
'-y,-x,-z'
'y,x,z'
'-x,y+1/2,-z'
'x,-y+1/2,z'
'y+1/2,x+1/2,-z'
'-y+1/2,-x+1/2,z'
loop_
_atom_site_label
_atom_site_type_symbol
_atom_site_fract_x
_atom_site_fract_y
_atom_site_fract_z
_atom_site_occupancy
Hg1 Hg 0.250 0.250 0.095 1
As1 As 0.250 0.250 0.656 1
Ru1 Ru 0.250 0.750 0.500 1